DFT (GGA-PBE) results for an optimized crystal structure of Ca3Pu3SnN8.

Cell: 6.8143 6.8147 6.9227 Å, 119.49 90.00 120.00°
Closest atoms and distances in Å follow each position.
Positions (direct):
Ca (0.0000, 0.0000, 0.0000)  6 N 2.53-2.58
Ca (0.0000, 0.5000, 0.0000)  6 N 2.53-2.58
Ca (0.5000, 0.5000, 0.0000)  6 N 2.53-2.58
Pu (0.5000, 0.0000, 0.5000)  6 N 2.29-2.33
Pu (0.5000, 0.5000, 0.5000)  6 N 2.29-2.33
Pu (0.0000, 0.5000, 0.5000)  6 N 2.29-2.33
Sn (0.0000, 0.0000, 0.5000)  6 N 2.27
N (0.2601, 0.5203, 0.2805)  3 Pu 2.33, 3 Ca 2.53
N (0.7399, 0.4797, 0.7195)  3 Pu 2.33, 3 Ca 2.53
N (0.7664, 0.5328, 0.2954)  1 Sn 2.27, 2 Pu 2.29
N (0.2336, 0.4672, 0.7046)  1 Sn 2.27, 2 Pu 2.29
N (0.7664, 0.0289, 0.2954)  1 Sn 2.27, 2 Pu 2.29
N (0.2336, 0.9711, 0.7046)  1 Sn 2.27, 2 Pu 2.29
N (0.2626, 0.0289, 0.2954)  1 Sn 2.27, 2 Pu 2.29
N (0.7374, 0.9711, 0.7046)  1 Sn 2.27, 2 Pu 2.29

For the calculated volume, the calculation gives 15.271 Å³ per atom. For the formation energy (no corrections), the calculation gives -0.814 eV per atom. As for the electronic total energy: -131.81 eV per cell.